A plane-wave DFT calculation with PBE-GGA was carried out for an optimized crystal structure of ZrVBr.

**Relative energy among the computed polymorphs**: 17.0 meV/atom
**Total moment**: 0.00 μB per formula unit
**Formation energy from raw total energies**: -275 meV/atom
**Volume**: 66.3 Å³/f.u.

Lattice parameters (Å, degrees): 3.2460 3.2468 14.1679 91.96 94.46 116.77
Fractional positions:
V (0.1307, 0.4878, 0.0467)
Br (0.5218, 0.6315, 0.6373)
Br (0.3968, 0.1144, 0.9245)
Zr (0.7896, 0.2383, 0.4960)
V (0.6881, 0.0435, 0.1682)
Zr (0.3098, 0.5583, 0.3163)